No. 1
Compound: CrCo2Re
Source: Alexandria
Functional: PBEsol
Structure: relaxed

Computed properties:
Final energy in eV/atom: -9.75
Formation enthalpy at 0 K in eV/atom: 0.017
D(E_F) in states/eV/atom: 0.846
Crystal system: orthorhombic
Magnetization in Bohr magnetons per cell: 0.01

Cell lengths 4.398, 4.398, 2.526 Å; angles 90.00, 90.00, 110.84 degrees
Sites, in units of the cell vectors:
Cr  0.000  0.000  0.000
Co  0.000  0.500  0.500
Co  0.500  0.000  0.500
Re  0.500  0.500  0.000

No. 2
Compound: CrCo2Re
Source: Alexandria
Functional: PBEsol
Structure: relaxed

Computed properties:
Final energy in eV/atom: -9.78
Formation enthalpy at 0 K in eV/atom: -0.015
D(E_F) in states/eV/atom: 0.857
Crystal system: tetragonal
Magnetization in Bohr magnetons per cell: 0.02

Cell lengths 4.400, 4.400, 4.400 Å; angles 132.60, 132.60, 69.29 degrees
Sites, in units of the cell vectors:
Cr  0.000  0.000  0.000
Co  0.250  0.750  0.500
Co  0.750  0.250  0.500
Re  0.500  0.500  0.000

No. 3
Compound: CrCo2Re
Source: Alexandria
Functional: PBEsol
Structure: relaxed

Computed properties:
Final energy in eV/atom: -9.75
Formation enthalpy at 0 K in eV/atom: 0.015
D(E_F) in states/eV/atom: 0.850
Crystal system: orthorhombic
Magnetization in Bohr magnetons per cell: 0.00

Cell lengths 2.527, 3.617, 4.985 Å; angles 90.00, 90.00, 90.00 degrees
Sites, in units of the cell vectors:
Cr  0.000  0.000  0.000
Co  0.500  0.500  0.243
Co  0.500  0.500  0.757
Re  0.000  0.000  0.500

No. 4
Compound: Cr2CoRh
Source: Alexandria
Functional: PBEsol
Structure: relaxed

Computed properties:
Final energy in eV/atom: -9.00
Formation enthalpy at 0 K in eV/atom: 0.086
D(E_F) in states/eV/atom: 1.139
Crystal system: monoclinic
Magnetization in Bohr magnetons per cell: 0.00

Cell lengths 4.396, 4.396, 4.336 Å; angles 99.77, 99.77, 33.82 degrees
Sites, in units of the cell vectors:
Cr  0.246  0.246  0.235
Cr  0.754  0.754  0.765
Co  0.500  0.500  0.000
Rh  0.000  0.000  0.500

Number 1 is which compound? CrCo2Re

Repeat the third record exactly.
Compound: CrCo2Re
Source: Alexandria
Functional: PBEsol
Structure: relaxed

Computed properties:
Final energy in eV/atom: -9.75
Formation enthalpy at 0 K in eV/atom: 0.015
D(E_F) in states/eV/atom: 0.850
Crystal system: orthorhombic
Magnetization in Bohr magnetons per cell: 0.00

Cell lengths 2.527, 3.617, 4.985 Å; angles 90.00, 90.00, 90.00 degrees
Sites, in units of the cell vectors:
Cr  0.000  0.000  0.000
Co  0.500  0.500  0.243
Co  0.500  0.500  0.757
Re  0.000  0.000  0.500